TcHOsRu2 | PBE-GGA | relaxed

Summary:
total magnetization = 0.00 Bohr magnetons per cell
polymorph energy (0 for the lowest one) = 0 meV per atom
space group = No. 123

abc: 3.870 3.870 3.919
angles: 90.00 90.00 90.00
Sites, in units of the cell vectors:
1 Tc 0.000 0.000 0.000
2 H 0.000 0.000 0.500
3 Os 0.500 0.500 0.000
4 Ru 0.000 0.500 0.500
5 Ru 0.500 0.000 0.500